[1]
The following is a PBE calculation of a geometry-optimized TlV2ReCl structure, from Alexandria via LeMat-Bulk.

Cell and atoms, written as POSCAR:
```
TlV2ReCl
1.0
4.295 0.000 0.000
0.000 4.295 0.000
0.000 0.000 4.478
Tl V Re Cl
1 2 1 1
Direct
0.000 0.000 0.000
0.000 0.500 0.500
0.500 0.000 0.500
0.500 0.500 0.000
0.500 0.500 0.500
```

Computed properties:
Density of states at the Fermi level   5.14 states/eV per cell
E_tot   -6.086 eV per atom
Energy relative to the elements, uncorrected   20.6 kcal/mol of atoms
SG   P4/mmm
Crystal system   tetragonal

***

[2]
The following is a PBE calculation of a geometry-optimized TmReCl structure, from Alexandria via LeMat-Bulk.

Cell and atoms, written as POSCAR:
```
TmReCl
1.0
-1.590 1.590 13.288
1.590 -1.590 13.288
1.590 1.590 -13.288
Tm Re Cl
2 2 2
Direct
0.117 0.117 0.000
0.883 0.883 0.000
0.457 0.457 0.000
0.543 0.543 0.000
0.317 0.317 0.000
0.683 0.683 0.000
```

Computed properties:
Density of states at the Fermi level   3.53 states/eV per cell
E_tot   -6.645 eV per atom
Energy relative to the elements, uncorrected   -9.0 kcal/mol of atoms
SG   I4/mmm
Crystal system   tetragonal

***

[3]
The following is a PBE calculation of a geometry-optimized V2Re2Cl structure, from Alexandria via LeMat-Bulk.

Cell and atoms, written as POSCAR:
```
V2Re2Cl
1.0
-1.903 1.903 7.055
1.903 -1.903 7.055
1.903 1.903 -7.055
V Re Cl
2 2 1
Direct
0.137 0.137 0.000
0.863 0.863 0.000
0.250 0.750 0.500
0.750 0.250 0.500
0.500 0.500 0.000
```

Computed properties:
Offset from the most stable computed form   0 meV/atom
Density of states at the Fermi level   5.35 states/eV per cell
E_tot   -8.526 eV per atom
Energy relative to the elements, uncorrected   10.8 kcal/mol of atoms
SG   I4/mmm
Crystal system   tetragonal

***

[4]
The following is a PBE calculation of a geometry-optimized V2ReCl structure, from Alexandria via LeMat-Bulk.

Cell and atoms, written as POSCAR:
```
V2ReCl
1.0
-3.253 3.253 2.802
3.253 -3.253 2.802
3.253 3.253 -2.802
V Re Cl
4 2 2
Direct
0.091 0.125 0.466
0.375 0.909 0.034
0.659 0.625 0.534
0.875 0.341 0.966
0.250 0.750 0.500
0.500 0.500 0.000
0.000 0.000 0.000
0.750 0.250 0.500
```

Computed properties:
Offset from the most stable computed form   0 meV/atom
Density of states at the Fermi level   7.33 states/eV per cell
E_tot   -7.457 eV per atom
Energy relative to the elements, uncorrected   15.6 kcal/mol of atoms
SG   I-42d
Crystal system   tetragonal

***

[5]
The following is a PBE calculation of a geometry-optimized V2Re2Cl structure, from Alexandria via LeMat-Bulk.

Cell and atoms, written as POSCAR:
```
V2Re2Cl
1.0
7.410 0.000 0.000
0.000 7.410 0.000
0.000 0.000 2.924
V Re Cl
4 4 2
Direct
0.149 0.351 0.000
0.351 0.851 0.000
0.649 0.149 0.000
0.851 0.649 0.000
0.133 0.633 0.500
0.367 0.133 0.500
0.633 0.867 0.500
0.867 0.367 0.500
0.000 0.000 0.000
0.500 0.500 0.000
```

Computed properties:
Offset from the most stable computed form   29 meV/atom
Density of states at the Fermi level   7.27 states/eV per cell
E_tot   -8.496 eV per atom
Energy relative to the elements, uncorrected   11.5 kcal/mol of atoms
SG   P4/mbm
Crystal system   tetragonal

***

[6]
The following is a PBE calculation of a geometry-optimized VReCl structure, from Alexandria via LeMat-Bulk.

Cell and atoms, written as POSCAR:
```
VReCl
1.0
14.487 0.000 0.000
0.000 1.485 2.388
0.000 -1.485 2.388
V Re Cl
2 2 2
Direct
0.000 0.000 0.000
0.500 0.301 0.301
0.361 0.801 0.801
0.639 0.801 0.801
0.116 0.341 0.341
0.884 0.341 0.341
```

Computed properties:
Density of states at the Fermi level   5.10 states/eV per cell
E_tot   -7.739 eV per atom
Energy relative to the elements, uncorrected   1.5 kcal/mol of atoms
SG   Amm2
Crystal system   orthorhombic

***

[7]
The following is a PBE calculation of a geometry-optimized VReCl3 structure, from Alexandria via LeMat-Bulk.

Cell and atoms, written as POSCAR:
```
VReCl3
1.0
4.952 0.000 0.000
0.000 4.952 0.000
0.000 0.000 4.952
V Re Cl
1 1 3
Direct
0.000 0.000 0.000
0.500 0.500 0.500
0.000 0.000 0.500
0.000 0.500 0.000
0.500 0.000 0.000
```

Computed properties:
Offset from the most stable computed form   0 meV/atom
Density of states at the Fermi level   1.84 states/eV per cell
E_tot   -4.930 eV per atom
Energy relative to the elements, uncorrected   11.3 kcal/mol of atoms
SG   Pm-3m
Crystal system   cubic

***

[8]
The following is a PBE calculation of a geometry-optimized VRe3Cl structure, from Alexandria via LeMat-Bulk.

Cell and atoms, written as POSCAR:
```
VRe3Cl
1.0
4.328 0.000 0.000
0.000 4.328 0.000
0.000 0.000 4.328
V Re Cl
1 3 1
Direct
0.000 0.000 0.000
0.000 0.500 0.500
0.500 0.000 0.500
0.500 0.500 0.000
0.500 0.500 0.500
```

Computed properties:
Offset from the most stable computed form   0 meV/atom
Density of states at the Fermi level   5.30 states/eV per cell
E_tot   -8.030 eV per atom
Energy relative to the elements, uncorrected   37.6 kcal/mol of atoms
SG   Pm-3m
Crystal system   cubic

***

[9]
The following is a PBE calculation of a geometry-optimized V2ReCl structure, from Alexandria via LeMat-Bulk.

Cell and atoms, written as POSCAR:
```
V2ReCl
1.0
0.000 3.091 3.091
3.091 0.000 3.091
3.091 3.091 0.000
V Re Cl
2 1 1
Direct
0.250 0.250 0.250
0.750 0.750 0.750
0.000 0.000 0.000
0.500 0.500 0.500
```

Computed properties:
Offset from the most stable computed form   61 meV/atom
Density of states at the Fermi level   6.14 states/eV per cell
E_tot   -7.396 eV per atom
Energy relative to the elements, uncorrected   17.0 kcal/mol of atoms
SG   Fm-3m
Crystal system   cubic

***

[10]
The following is a PBE calculation of a geometry-optimized VRe3Cl structure, from Alexandria via LeMat-Bulk.

Cell and atoms, written as POSCAR:
```
VRe3Cl
1.0
4.596 0.000 0.000
0.000 4.596 0.000
0.000 0.000 4.596
V Re Cl
1 3 1
Direct
0.000 0.000 0.000
0.000 0.000 0.500
0.000 0.500 0.000
0.500 0.000 0.000
0.500 0.500 0.500
```

Computed properties:
Offset from the most stable computed form   605 meV/atom
Density of states at the Fermi level   9.55 states/eV per cell
E_tot   -7.425 eV per atom
Energy relative to the elements, uncorrected   51.6 kcal/mol of atoms
SG   Pm-3m
Crystal system   cubic

***

[11]
The following is a PBE calculation of a geometry-optimized VReCl3 structure, from Alexandria via LeMat-Bulk.

Cell and atoms, written as POSCAR:
```
VReCl3
1.0
4.822 0.000 0.000
0.000 4.822 0.000
0.000 0.000 4.822
V Re Cl
1 1 3
Direct
0.000 0.000 0.000
0.500 0.500 0.500
0.000 0.500 0.500
0.500 0.000 0.500
0.500 0.500 0.000
```

Computed properties:
Offset from the most stable computed form   223 meV/atom
Density of states at the Fermi level   8.38 states/eV per cell
E_tot   -4.707 eV per atom
Energy relative to the elements, uncorrected   16.5 kcal/mol of atoms
SG   Pm-3m
Crystal system   cubic

***

[12]
The following is a PBE calculation of a geometry-optimized ReWCl structure, from Alexandria via LeMat-Bulk.

Cell and atoms, written as POSCAR:
```
ReWCl
1.0
-1.446 2.087 3.910
1.446 -2.087 3.910
1.446 2.087 -3.910
Re W Cl
1 1 1
Direct
0.000 0.000 0.000
0.661 0.661 0.000
0.332 0.332 0.000
```

Computed properties:
Offset from the most stable computed form   557 meV/atom
Density of states at the Fermi level   1.95 states/eV per cell
E_tot   -8.064 eV per atom
Energy relative to the elements, uncorrected   23.5 kcal/mol of atoms
SG   Imm2
Crystal system   orthorhombic